{
  "formula": "HfTlSe2",
  "functional": "PBE",
  "state": "optimized geometry",
  "magmom_total_mub_per_cell": 0.000,
  "dft_energy_ev_per_atom": -5.75,
  "formation_energy_uncorrected_ev_per_atom": -0.93,
  "space_group": "P1, No. 1",
  "lattice_angstrom": [[3.540, 0.000, 0.000], [1.769, 6.482, 0.000], [1.765, -0.095, 9.111]],
  "species": ["Hf", "Hf", "Tl", "Tl", "Se", "Se", "Se", "Se"],
  "fractional_positions": [[0.000, 0.000, 0.000], [0.190, 0.531, 0.088], [0.076, 0.313, 0.546], [0.800, 0.830, 0.537], [0.442, 0.248, 0.868], [0.485, 0.820, 0.210], [0.704, 0.712, 0.878], [0.748, 0.283, 0.221]]
}

***

{
  "formula": "HfTlSe",
  "functional": "PBE",
  "state": "optimized geometry",
  "magmom_total_mub_per_cell": 0.000,
  "dft_energy_ev_per_atom": -5.68,
  "formation_energy_uncorrected_ev_per_atom": -0.41,
  "space_group": "P-3m1, No. 164",
  "lattice_angstrom": [[3.559, 0.000, 0.000], [-1.780, 3.082, 0.000], [0.000, 0.000, 28.225]],
  "species": ["Hf", "Hf", "Hf", "Hf", "Tl", "Tl", "Tl", "Tl", "Se", "Se", "Se", "Se"],
  "fractional_positions": [[0.333, 0.667, 0.120], [0.333, 0.667, 0.630], [0.667, 0.333, 0.370], [0.667, 0.333, 0.880], [0.333, 0.667, 0.287], [0.333, 0.667, 0.455], [0.667, 0.333, 0.545], [0.667, 0.333, 0.713], [0.333, 0.667, 0.818], [0.333, 0.667, 0.939], [0.667, 0.333, 0.061], [0.667, 0.333, 0.182]]
}